Crystalline Hf2NiS2 at its relaxed geometry. Source: the Alexandria database, functional PBE.

a b c (Å): 7.043 7.043 3.342
angles (deg): 90.00 90.00 90.00
Space group P4/mbm (No. 127)
Asymmetric unit:
Hf 0.157 0.343 0.000 (multiplicity 4)
Ni 0.000 0.000 0.000 (multiplicity 2)
S 0.140 0.640 0.500 (multiplicity 4)

Results
- Excess energy over the best structure of this formula in the dataset: 0 meV per atom
- Total DFT energy (no corrections): -0.5534 Ry per atom
- N(E_F): 0.596 states/eV/atom
- Volume: 16.581 Å³ per atom

***

Crystalline HfNiS2 at its relaxed geometry. Source: the Alexandria database, functional PBE.

a b c (Å): 6.206 6.206 6.206
angles (deg): 90.00 90.00 90.00
Space group Fm-3m (No. 225)
Asymmetric unit:
Hf 0.000 0.000 0.000 (multiplicity 4)
Ni 0.000 0.000 0.500 (multiplicity 4)
S 0.250 0.250 0.250 (multiplicity 8)

Results
- Excess energy over the best structure of this formula in the dataset: 198 meV per atom
- Total DFT energy (no corrections): -0.4889 Ry per atom
- N(E_F): 0.080 states/eV/atom
- Volume: 14.940 Å³ per atom

***

Crystalline HfNi3S at its relaxed geometry. Source: the Alexandria database, functional PBE.

a b c (Å): 4.586 4.586 4.586
angles (deg): 90.00 90.00 90.00
Space group Pm-3m (No. 221)
Asymmetric unit:
Hf 0.000 0.000 0.000 (multiplicity 1)
Ni 0.000 0.000 0.500 (multiplicity 3)
S 0.500 0.500 0.500 (multiplicity 1)

Results
- Excess energy over the best structure of this formula in the dataset: 1416 meV per atom
- Total DFT energy (no corrections): -0.3642 Ry per atom
- N(E_F): 0.318 states/eV/atom
- Volume: 19.289 Å³ per atom

***

What did we get for E_form (uncorrected)? Answer: -71 -63 128 kJ/mol of atoms, in the order shown.